Entry 1:
# La2PmHoBi5

A geometry-optimized La2PmHoBi5 structure (PBE-GGA, Alexandria via LeMat-Bulk).

a = 5.434 Å, b = 5.434 Å, c = 12.076 Å
α = 90.00°, β = 90.00°, γ = 90.00°
Positions (direct):
La (0.000, 0.000, 0.222)
La (0.000, 0.000, 0.778)
Pm (0.500, 0.500, 0.500)
Ho (0.500, 0.500, 0.000)
Bi (0.000, 0.000, 0.500)
Bi (0.000, 0.500, 0.000)
Bi (0.500, 0.000, 0.000)
Bi (0.500, 0.500, 0.251)
Bi (0.500, 0.500, 0.749)

Calculated values
E_tot (eV per atom): -4.5727
Formation enthalpy at 0 K (eV/f.u.): -2.6
Space group: P4/mmm, No. 123

***

Entry 2:
# Li2AlHg4

A geometry-optimized Li2AlHg4 structure (PBE-GGA, Alexandria via LeMat-Bulk).

a = 5.778 Å, b = 5.778 Å, c = 5.778 Å
α = 113.03°, β = 113.03°, γ = 102.57°
Positions (direct):
Li (0.000, 0.500, 0.500)
Li (0.500, 0.000, 0.500)
Al (0.000, 0.000, 0.000)
Hg (0.000, 0.000, 0.500)
Hg (0.000, 0.500, 0.000)
Hg (0.500, 0.000, 0.000)
Hg (0.500, 0.500, 0.500)

Calculated values
E_tot (eV per atom): -1.4025
Formation enthalpy at 0 K (eV/f.u.): -1.0
Space group: I4/mmm, No. 139

***

Entry 3:
# Pr2OsC

A geometry-optimized Pr2OsC structure (PBE-GGA, Alexandria via LeMat-Bulk).

a = 5.251 Å, b = 3.468 Å, c = 9.251 Å
α = 90.00°, β = 93.02°, γ = 90.00°
Positions (direct):
Pr (0.248, 0.250, 0.097)
Pr (0.250, 0.750, 0.431)
Pr (0.750, 0.250, 0.569)
Pr (0.752, 0.750, 0.903)
Os (0.242, 0.250, 0.752)
Os (0.758, 0.750, 0.248)
C (0.083, 0.750, 0.697)
C (0.917, 0.250, 0.303)

Calculated values
E_tot (eV per atom): -7.4603
Formation enthalpy at 0 K (eV/f.u.): 0.2
Space group: P2_1/m, No. 11

***

Entry 4:
# RbPdS2N

A geometry-optimized RbPdS2N structure (PBE-GGA, Alexandria via LeMat-Bulk).

a = 5.919 Å, b = 5.919 Å, c = 5.239 Å
α = 90.00°, β = 90.00°, γ = 90.00°
Positions (direct):
Rb (0.000, 0.000, 0.000)
Pd (0.500, 0.500, 0.500)
S (0.000, 0.500, 0.000)
S (0.500, 0.000, 0.000)
N (0.000, 0.000, 0.500)

Calculated values
Formation energy without anion corrections (eV/atom): 2.0580
E_tot (eV per atom): -2.4902
Space group: P4/mmm, No. 123

***

Entry 5:
# Fe2MoIr

A geometry-optimized Fe2MoIr structure (PBE-GGA, Alexandria via LeMat-Bulk).

a = 4.521 Å, b = 4.521 Å, c = 4.521 Å
α = 131.12°, β = 131.12°, γ = 71.63°
Positions (direct):
Fe (0.250, 0.750, 0.500)
Fe (0.750, 0.250, 0.500)
Mo (0.000, 0.000, 0.000)
Ir (0.500, 0.500, 0.000)

Calculated values
E_tot (eV per atom): -9.1543
Formation enthalpy at 0 K (eV/f.u.): 0.0
Space group: I4/mmm, No. 139

***

Entry 6:
# AlWAu2

A geometry-optimized AlWAu2 structure (PBE-GGA, Alexandria via LeMat-Bulk).

a = 2.815 Å, b = 2.815 Å, c = 8.381 Å
α = 90.00°, β = 90.00°, γ = 90.00°
Positions (direct):
Al (0.000, 0.000, 0.000)
W (0.500, 0.500, 0.767)
Au (0.000, 0.000, 0.518)
Au (0.500, 0.500, 0.232)

Calculated values
E_tot (eV per atom): -5.7913
Formation enthalpy at 0 K (eV/f.u.): 0.1
Space group: P4mm, No. 99

***

Entry 7:
# Rb2CeHgCl6

A geometry-optimized Rb2CeHgCl6 structure (PBE-GGA, Alexandria via LeMat-Bulk).

a = 8.709 Å, b = 8.709 Å, c = 8.709 Å
α = 55.71°, β = 55.71°, γ = 55.71°
Positions (direct):
Rb (0.000, 0.000, 0.000)
Rb (0.477, 0.477, 0.477)
Ce (0.802, 0.802, 0.802)
Hg (0.293, 0.293, 0.293)
Cl (0.008, 0.465, 0.735)
Cl (0.140, 0.862, 0.624)
Cl (0.465, 0.735, 0.008)
Cl (0.624, 0.140, 0.862)
Cl (0.735, 0.008, 0.465)
Cl (0.862, 0.624, 0.140)

Calculated values
Formation energy without anion corrections (eV/atom): -1.7932
E_tot (eV per atom): -3.7183
Space group: R3, No. 146

***

Entry 8:
# La16Pm6Pr7

A geometry-optimized La16Pm6Pr7 structure (PBE-GGA, Alexandria via LeMat-Bulk).

a = 11.474 Å, b = 11.474 Å, c = 11.474 Å
α = 60.00°, β = 60.00°, γ = 60.00°
Positions (direct):
La (0.034, 0.655, 0.655)
La (0.121, 0.121, 0.121)
La (0.121, 0.121, 0.636)
La (0.121, 0.636, 0.121)
La (0.345, 0.345, 0.345)
La (0.345, 0.345, 0.966)
La (0.345, 0.966, 0.345)
La (0.364, 0.879, 0.879)
La (0.636, 0.121, 0.121)
La (0.655, 0.034, 0.655)
La (0.655, 0.655, 0.034)
La (0.655, 0.655, 0.655)
La (0.879, 0.364, 0.879)
La (0.879, 0.879, 0.364)
La (0.879, 0.879, 0.879)
La (0.966, 0.345, 0.345)
Pm (0.295, 0.295, 0.705)
Pm (0.295, 0.705, 0.295)
Pm (0.295, 0.705, 0.705)
Pm (0.705, 0.295, 0.295)
Pm (0.705, 0.295, 0.705)
Pm (0.705, 0.705, 0.295)
Pr (0.000, 0.000, 0.000)
Pr (0.000, 0.000, 0.500)
Pr (0.000, 0.500, 0.000)
Pr (0.000, 0.500, 0.500)
Pr (0.500, 0.000, 0.000)
Pr (0.500, 0.000, 0.500)
Pr (0.500, 0.500, 0.000)

Calculated values
E_tot (eV per atom): -4.6677
Formation enthalpy at 0 K (eV/f.u.): 5.4
Space group: Fm-3m, No. 225